Computed, not measured: an optimized crystal structure of Nd5Dy3Tm3 at the PBE level of DFT.

Properties
- calculated density (Mg/m³) = 7.526
- raw total energy (eV per atom) = -4.3256
- E_form (eV per atom) = 0.32
- SG = P-62m, No. 189
- crystal system = hexagonal

Cell: 11.2554 11.2554 3.4502 Å, 90.00 90.00 120.00°
Last column: nearest neighbours and their distance in Å.
Fractional positions:
1 Nd 0.0000 0.6622 0.0000  2 Tm 3.29, 2 Dy 3.38, 2 Nd 3.45
2 Nd 0.3333 0.6667 0.0000  5 Nd 3.45-3.73, 6 Dy 3.83
3 Nd 0.3378 0.3378 0.0000  2 Tm 3.29, 2 Dy 3.38, 2 Nd 3.45
4 Nd 0.6622 0.0000 0.0000  2 Tm 3.29, 2 Dy 3.38, 2 Nd 3.45
5 Nd 0.6667 0.3333 0.0000  5 Nd 3.45-3.73, 6 Dy 3.83
6 Dy 0.0000 0.4039 0.5000  2 Tm 3.25, 2 Nd 3.38, 2 Dy 3.45
7 Dy 0.4039 0.0000 0.5000  2 Tm 3.25, 2 Nd 3.38, 2 Dy 3.45
8 Dy 0.5961 0.5961 0.5000  2 Tm 3.25, 2 Nd 3.38, 2 Dy 3.45
9 Tm 0.0000 0.1591 0.0000  4 Tm 3.10-3.45, 2 Dy 3.25, 2 Nd 3.29
10 Tm 0.1591 0.0000 0.0000  4 Tm 3.10-3.45, 2 Dy 3.25, 2 Nd 3.29
11 Tm 0.8409 0.8409 0.0000  4 Tm 3.10-3.45, 2 Dy 3.25, 2 Nd 3.29